First-principles (PBE) data for a relaxed structure of InAgIr2, as listed in Alexandria via LeMat-Bulk.

a b c (Å): 4.9010 4.9010 5.0066
angles (deg): 101.01 101.01 34.67
Closest atoms and distances in Å follow each position.
Sites, in units of the cell vectors:
In  0.0000  0.0000  0.0000  3 Ag 2.74-2.87, 7 Ir 2.84-3.01, 2 In 2.92
Ag  0.7589  0.7589  0.2347  3 In 2.74-2.87, 7 Ir 2.81-2.99, 2 Ag 2.92
Ir  0.2538  0.2538  0.7128  5 Ir 2.66-2.92, 2 Ag 2.81, 2 In 2.86
Ir  0.5180  0.5180  0.5209  5 Ir 2.66-2.92, 4 In 2.84-2.96, 3 Ag 2.90-2.94

## Properties
- ρ (g/cm³) = 15.04
- spin magnetization (Bohr magnetons per cell) = 0.000
- total DFT energy (no corrections) (eV per formula unit) = -22.4


First-principles (PBE) data for a relaxed structure of NaH2Se2, as listed in Alexandria via LeMat-Bulk.

a b c (Å): 4.1120 4.9158 6.0402
angles (deg): 95.25 108.08 112.45
Closest atoms and distances in Å follow each position.
Sites, in units of the cell vectors:
Na  0.0000  0.0000  0.0000  6 Se 2.98-3.29, 2 H 3.10
H  0.4267  0.3782  0.6482  1 Se 1.49
H  0.5733  0.6218  0.3518  1 Se 1.49
Se  0.2153  0.5016  0.7542  1 H 1.49
Se  0.7847  0.4984  0.2458  1 H 1.49

## Properties
- offset from the most stable computed form (meV per atom) = 0
- ρ (g/cm³) = 2.92
- spin magnetization (Bohr magnetons per cell) = 0.000


First-principles (PBE) data for a relaxed structure of GdScTcAu, as listed in Alexandria via LeMat-Bulk.

a b c (Å): 4.8422 4.8422 4.8422
angles (deg): 60.00 60.00 60.00
Closest atoms and distances in Å follow each position.
Sites, in units of the cell vectors:
Gd  0.0000  0.0000  0.0000  4 Tc 2.97, 4 Au 2.97
Sc  0.5000  0.5000  0.5000  4 Tc 2.97, 4 Au 2.97
Tc  0.2500  0.2500  0.2500  4 Gd 2.97, 4 Sc 2.97
Au  0.7500  0.7500  0.7500  4 Gd 2.97, 4 Sc 2.97

## Properties
- ρ (g/cm³) = 10.28
- spin magnetization (Bohr magnetons per cell) = 7.010
- total DFT energy (no corrections) (eV per formula unit) = -35.5